Below is a relaxed structure of Dy2YLu5, with properties calculated at the PBE level.

POSCAR file:
```
Dy2YLu5
1.0
5.5394 0.0000 0.0000
0.0000 3.5628 6.1700
0.0000 -3.5628 6.1700
Dy Y Lu
2 1 5
Direct
0.0000 0.0000 0.0000
0.5000 0.3329 0.3329
0.0000 0.5003 0.5003
0.0000 0.5001 0.9990
0.0000 0.9990 0.5001
0.5000 0.3340 0.8333
0.5000 0.8333 0.3340
0.5000 0.8326 0.8326
```

## Properties
SG ... Amm2, No. 38
Raw total energy ... -38.28 eV per formula unit
ΔE_f ... 0.00 eV/atom
Total moment ... 0.071 μB per cell